First-principles (GGA-PBEsol) data for a relaxed structure of Tl3Pb, as listed in the Alexandria database.

a = 4.8229 Å, b = 4.8229 Å, c = 9.7425 Å
α = 90.00°, β = 90.00°, γ = 90.00°
Space group I4/mmm (No. 139)
Unique sites:
Tl 0.0000 0.0000 0.0000
Tl 0.0000 0.5000 0.2500
Pb 0.0000 0.0000 0.5000

- Size of the total moment: 0.0 μB/f.u.
- V: 28.326 Å³ per atom
- Polymorph energy (0 for the lowest one): 4 meV/atom
- E_tot: -2.97 eV/atom
- ΔH_f (0 K): 0.002 eV per atom

---

First-principles (GGA-PBEsol) data for a relaxed structure of TlPb3, as listed in the Alexandria database.

a = 4.9784 Å, b = 4.9860 Å, c = 9.4262 Å
α = 90.00°, β = 90.00°, γ = 90.00°
Space group Cmmm (No. 65)
Unique sites:
Tl 0.0000 0.0000 0.0000
Pb 0.0000 0.0000 0.5000
Pb 0.0000 0.5000 0.2502

- Size of the total moment: 0.0 μB/f.u.
- V: 29.248 Å³ per atom
- E_tot: -3.66 eV/atom
- ΔH_f (0 K): 0.000 eV per atom

---

First-principles (GGA-PBEsol) data for a relaxed structure of Tl8Pb, as listed in the Alexandria database.

a = 10.1616 Å, b = 10.1616 Å, c = 4.9005 Å
α = 90.00°, β = 90.00°, γ = 90.00°
Space group I4/mmm (No. 139)
Unique sites:
Tl 0.0000 0.3330 0.0000
Tl 0.1665 0.1665 0.5000
Pb 0.0000 0.0000 0.0000

- Size of the total moment: 0.0 μB/f.u.
- V: 28.112 Å³ per atom
- E_tot: -2.78 eV/atom
- ΔH_f (0 K): 0.006 eV per atom

---

First-principles (GGA-PBEsol) data for a relaxed structure of Tl2Pb, as listed in the Alexandria database.

a = 4.8183 Å, b = 14.4965 Å, c = 4.9026 Å
α = 90.00°, β = 90.00°, γ = 90.00°
Space group Cmcm (No. 63)
Unique sites:
Tl 0.0000 0.0841 0.2500
Tl 0.0000 0.2492 0.7500
Pb 0.0000 0.4180 0.2500

- Size of the total moment: 0.0 μB/f.u.
- V: 28.537 Å³ per atom
- Polymorph energy (0 for the lowest one): 5 meV/atom
- E_tot: -3.09 eV/atom
- ΔH_f (0 K): -0.001 eV per atom

---

First-principles (GGA-PBEsol) data for a relaxed structure of TlPb3, as listed in the Alexandria database.

a = 3.4277 Å, b = 11.4060 Å, c = 5.9812 Å
α = 90.00°, β = 90.00°, γ = 90.00°
Space group Imm2 (No. 44)
Unique sites:
Tl 0.0000 0.0000 0.0000
Pb 0.0000 0.2463 0.3375
Pb 0.0000 0.5000 0.0043

- Size of the total moment: 0.0 μB/f.u.
- V: 29.231 Å³ per atom
- E_tot: -3.64 eV/atom
- ΔH_f (0 K): 0.016 eV per atom

---

First-principles (GGA-PBEsol) data for a relaxed structure of Tl2Pb, as listed in the Alexandria database.

a = 5.4401 Å, b = 5.4401 Å, c = 3.3599 Å
α = 90.00°, β = 90.00°, γ = 120.00°
Space group P-3m1 (No. 164)
Unique sites:
Tl 0.3333 0.6667 0.1554
Pb 0.0000 0.0000 0.5000

- Size of the total moment: 0.0 μB/f.u.
- V: 28.704 Å³ per atom
- Polymorph energy (0 for the lowest one): 18 meV/atom
- E_tot: -3.07 eV/atom
- ΔH_f (0 K): 0.012 eV per atom

---

First-principles (GGA-PBEsol) data for a relaxed structure of Tl3Pb, as listed in the Alexandria database.

a = 10.8892 Å, b = 10.8892 Å, c = 3.3327 Å
α = 90.00°, β = 90.00°, γ = 120.00°
Space group R-3m (No. 166, hexagonal axes)
Unique sites:
Tl 0.0000 0.5000 0.0000
Pb 0.0000 0.0000 0.0000

- Size of the total moment: 0.0 μB/f.u.
- V: 28.519 Å³ per atom
- Polymorph energy (0 for the lowest one): 15 meV/atom
- E_tot: -2.96 eV/atom
- ΔH_f (0 K): 0.013 eV per atom

---

First-principles (GGA-PBEsol) data for a relaxed structure of Tl2Pb, as listed in the Alexandria database.

a = 5.5282 Å, b = 5.5282 Å, c = 6.5175 Å
α = 90.00°, β = 90.00°, γ = 120.00°
Space group P6_3/mmc (No. 194)
Unique sites:
Tl 0.0000 0.0000 0.0000
Tl 0.3333 0.6667 0.2500
Pb 0.3333 0.6667 0.7500

- Size of the total moment: 0.0 μB/f.u.
- V: 28.750 Å³ per atom
- Polymorph energy (0 for the lowest one): 49 meV/atom
- E_tot: -3.04 eV/atom
- ΔH_f (0 K): 0.043 eV per atom

---

First-principles (GGA-PBEsol) data for a relaxed structure of Tl3Pb, as listed in the Alexandria database.

a = 9.1391 Å, b = 9.0859 Å, c = 5.8180 Å
α = 90.00°, β = 90.00°, γ = 90.00°
Space group Cmcm (No. 63)
Unique sites:
Tl 0.0000 0.0618 0.2500
Tl 0.1755 0.2638 0.7500
Pb 0.0000 0.4149 0.2500

- Size of the total moment: 0.0 μB/f.u.
- V: 30.194 Å³ per atom
- Polymorph energy (0 for the lowest one): 88 meV/atom
- E_tot: -2.89 eV/atom
- ΔH_f (0 K): 0.086 eV per atom

---

First-principles (GGA-PBEsol) data for a relaxed structure of Tl2Pb, as listed in the Alexandria database.

a = 3.4260 Å, b = 3.4260 Å, c = 14.6299 Å
α = 90.00°, β = 90.00°, γ = 90.00°
Space group I4/mmm (No. 139)
Unique sites:
Tl 0.0000 0.0000 0.1671
Pb 0.0000 0.0000 0.5000

- Size of the total moment: 0.0 μB/f.u.
- V: 28.620 Å³ per atom
- Polymorph energy (0 for the lowest one): 0 meV/atom
- E_tot: -3.09 eV/atom
- ΔH_f (0 K): -0.006 eV per atom

---

First-principles (GGA-PBEsol) data for a relaxed structure of Tl5Pb, as listed in the Alexandria database.

a = 4.9485 Å, b = 14.0372 Å, c = 4.8723 Å
α = 90.00°, β = 90.00°, γ = 90.00°
Space group Cmmm (No. 65)
Unique sites:
Tl 0.0000 0.0000 0.0000
Tl 0.0000 0.1661 0.5000
Tl 0.0000 0.3330 0.0000
Pb 0.0000 0.5000 0.5000

- Size of the total moment: 0.0 μB/f.u.
- V: 28.204 Å³ per atom
- Polymorph energy (0 for the lowest one): 5 meV/atom
- E_tot: -2.86 eV/atom
- ΔH_f (0 K): 0.003 eV per atom

---

First-principles (GGA-PBEsol) data for a relaxed structure of Tl3Pb, as listed in the Alexandria database.

a = 7.7042 Å, b = 7.7042 Å, c = 7.7042 Å
α = 90.00°, β = 90.00°, γ = 90.00°
Space group Fm-3m (No. 225)
Unique sites:
Tl 0.0000 0.0000 0.0000
Tl 0.2500 0.2500 0.2500
Pb 0.0000 0.0000 0.5000

- Size of the total moment: 0.0 μB/f.u.
- V: 28.580 Å³ per atom
- Polymorph energy (0 for the lowest one): 10 meV/atom
- E_tot: -2.96 eV/atom
- ΔH_f (0 K): 0.008 eV per atom